Computed, not measured: an optimized crystal structure of Ag3Te at the PBE-GGA level of DFT.

Results
As for the polymorph energy (0 for the lowest one): 86.9 meV per atom. For the formation energy without anion corrections, the calculation gives 0.114 eV/atom. The total DFT energy (no corrections) is -2.81 eV/atom.

Cell and atoms, written as CIF:
```
data_Ag3Te
_space_group_name_H-M_alt 'P m m 2'
_space_group_IT_number 25
_space_group_name_Hall 'P 2 -2'
_cell_length_a 3.147
_cell_length_b 4.604
_cell_length_c 5.979
_cell_angle_alpha 90.00
_cell_angle_beta 90.00
_cell_angle_gamma 90.00
loop_
_atom_site_label
_atom_site_fract_x
_atom_site_fract_y
_atom_site_fract_z
_atom_site_occupancy
Ag1 0.000 0.000 0.000 1
Ag2 0.000 0.500 0.289 1
Ag3 0.500 0.000 0.415 1
Te1 0.500 0.500 0.755 1
```